[1]
This record from Alexandria via LeMat-Bulk describes a relaxed MgCdO2 crystal. The functional is PBE-GGA. Values from VASP.

Quantum ESPRESSO input file:
```
&SYSTEM
  ibrav = 0, nat = 4, ntyp = 3
/
ATOMIC_SPECIES
Mg 24.30 Mg.upf
Cd 112.41 Cd.upf
O 16.00 O.upf
CELL_PARAMETERS angstrom
0.000 2.827 2.827
2.827 0.000 2.827
2.827 2.827 0.000
ATOMIC_POSITIONS angstrom
Mg 0.000 0.000 0.000
Cd 2.827 2.827 2.827
O 1.414 1.414 1.414
O 4.241 4.241 4.241
```

Properties
excess energy over the best structure of this formula in the dataset	0.580	eV/atom
magnetic moment	0.00	μB per formula unit
DOS at the Fermi energy	0.00	states/eV/atom
raw formation energy	-4.88	eV/f.u.

---

[2]
This record from Alexandria via LeMat-Bulk describes a relaxed GdLuBi crystal. The functional is PBE-GGA. Values from VASP.

Quantum ESPRESSO input file:
```
&SYSTEM
  ibrav = 0, nat = 3, ntyp = 3
/
ATOMIC_SPECIES
Gd 157.25 Gd.upf
Lu 174.97 Lu.upf
Bi 208.98 Bi.upf
CELL_PARAMETERS angstrom
5.255 0.000 0.000
-2.628 4.551 0.000
0.000 0.000 3.813
ATOMIC_POSITIONS angstrom
Gd 0.000 0.000 0.000
Lu 0.000 3.034 2.045
Bi 2.628 1.517 1.244
```

Properties
excess energy over the best structure of this formula in the dataset	0.203	eV/atom
magnetic moment	7.45	μB per formula unit
DOS at the Fermi energy	1.28	states/eV/atom
E_form	-6.08	kcal/mol of atoms

---

[3]
This record from Alexandria via LeMat-Bulk describes a relaxed NdTaRh3 crystal. The functional is PBE-GGA. Values from VASP.

Quantum ESPRESSO input file:
```
&SYSTEM
  ibrav = 0, nat = 10, ntyp = 3
/
ATOMIC_SPECIES
Nd 144.24 Nd.upf
Ta 180.95 Ta.upf
Rh 102.91 Rh.upf
CELL_PARAMETERS angstrom
4.605 0.000 0.000
-2.302 3.988 0.000
0.000 0.000 10.091
ATOMIC_POSITIONS angstrom
Nd 0.000 2.658 2.523
Nd 2.302 1.329 7.568
Ta 0.000 0.000 0.000
Ta 0.000 0.000 5.045
Rh 0.000 0.000 2.523
Rh 0.000 0.000 7.568
Rh 0.000 2.658 5.803
Rh 0.000 2.658 9.333
Rh 2.302 1.329 0.758
Rh 2.302 1.329 4.288
```

Properties
magnetic moment	0.00	μB per formula unit
DOS at the Fermi energy	0.85	states/eV/atom
E_form	-9.29	kcal/mol of atoms

---

[4]
This record from Alexandria via LeMat-Bulk describes a relaxed ZnSb2Pt crystal. The functional is PBE-GGA. Values from VASP.

Quantum ESPRESSO input file:
```
&SYSTEM
  ibrav = 0, nat = 4, ntyp = 3
/
ATOMIC_SPECIES
Zn 65.41 Zn.upf
Sb 121.76 Sb.upf
Pt 195.08 Pt.upf
CELL_PARAMETERS angstrom
4.560 0.000 0.000
0.000 4.560 0.000
0.000 0.000 3.978
ATOMIC_POSITIONS angstrom
Zn 0.000 0.000 0.000
Sb 0.000 2.280 1.989
Sb 2.280 0.000 1.989
Pt 2.280 2.280 0.000
```

Properties
magnetic moment	0.00	μB per formula unit
DOS at the Fermi energy	0.40	states/eV/atom
raw formation energy	0.31	eV/f.u.

---

[5]
This record from Alexandria via LeMat-Bulk describes a relaxed PmThZnBi crystal. The functional is PBE-GGA. Values from VASP.

Quantum ESPRESSO input file:
```
&SYSTEM
  ibrav = 0, nat = 4, ntyp = 4
/
ATOMIC_SPECIES
Pm 145.00 Pm.upf
Th 232.04 Th.upf
Zn 65.41 Zn.upf
Bi 208.98 Bi.upf
CELL_PARAMETERS angstrom
0.000 3.835 3.835
3.835 0.000 3.835
3.835 3.835 0.000
ATOMIC_POSITIONS angstrom
Pm 0.000 0.000 0.000
Th 3.835 3.835 3.835
Zn 5.753 5.753 5.753
Bi 1.918 1.918 1.918
```

Properties
magnetic moment	0.00	μB per formula unit
DOS at the Fermi energy	1.27	states/eV/atom
E_form	-6.97	kcal/mol of atoms

---

[6]
This record from Alexandria via LeMat-Bulk describes a relaxed ZnIrRu crystal. The functional is PBE-GGA. Values from VASP.

Quantum ESPRESSO input file:
```
&SYSTEM
  ibrav = 0, nat = 3, ntyp = 3
/
ATOMIC_SPECIES
Zn 65.41 Zn.upf
Ir 192.22 Ir.upf
Ru 101.07 Ru.upf
CELL_PARAMETERS angstrom
-1.387 1.911 3.992
1.387 -1.911 3.992
1.387 1.911 -3.992
ATOMIC_POSITIONS angstrom
Zn 0.000 0.000 0.000
Ir 0.000 0.000 5.330
Ru 0.000 0.000 2.652
```

Properties
excess energy over the best structure of this formula in the dataset	0.061	eV/atom
magnetic moment	0.00	μB per formula unit
DOS at the Fermi energy	0.90	states/eV/atom
E_form	-0.10	kcal/mol of atoms